The following is a DFT calculation (PBE-GGA) of an optimized crystal structure of CaBe2Ag.

Cell lengths 7.067, 4.076, 5.605 Å; angles 90.00, 115.02, 90.00 degrees
Space group C2/m (No. 12)
Asymmetric unit:
Ca 0.000 0.000 0.000
Be 0.186 0.000 0.557
Ag 0.000 0.500 0.500

Calculated values
Formation energy from the elements ... 24 kJ/mol of formula units


The following is a DFT calculation (PBE-GGA) of an optimized crystal structure of CaBe2Ag2.

Cell lengths 7.506, 7.506, 2.905 Å; angles 90.00, 90.00, 90.00 degrees
Space group P4/mbm (No. 127)
Asymmetric unit:
Ca 0.000 0.000 0.000
Be 0.151 0.349 0.500
Ag 0.137 0.637 0.000

Calculated values
Formation energy from the elements ... 103 kJ/mol of formula units


The following is a DFT calculation (PBE-GGA) of an optimized crystal structure of CaBe2Ag.

Cell lengths 4.146, 4.146, 4.125 Å; angles 90.00, 90.00, 90.00 degrees
Space group P4/mmm (No. 123)
Asymmetric unit:
Ca 0.000 0.000 0.000
Be 0.000 0.500 0.500
Ag 0.500 0.500 0.000

Calculated values
Formation energy from the elements ... 207 kJ/mol of formula units


The following is a DFT calculation (PBE-GGA) of an optimized crystal structure of Ca2BeAg.

Cell lengths 7.015, 7.015, 7.015 Å; angles 90.00, 90.00, 90.00 degrees
Space group F-43m (No. 216)
Asymmetric unit:
Ca 0.000 0.000 0.000
Ca 0.250 0.250 0.250
Be 0.250 0.250 0.750
Ag 0.000 0.000 0.500

Calculated values
Formation energy from the elements ... 89 kJ/mol of formula units


The following is a DFT calculation (PBE-GGA) of an optimized crystal structure of CaBe2Ag.

Cell lengths 4.342, 4.342, 16.882 Å; angles 90.00, 90.00, 90.00 degrees
Space group I4_1/amd (No. 141, origin choice 2)
Asymmetric unit:
Ca 0.000 0.250 0.375
Be 0.000 0.000 0.000
Ag 0.000 0.250 0.875

Calculated values
Formation energy from the elements ... 98 kJ/mol of formula units


The following is a DFT calculation (PBE-GGA) of an optimized crystal structure of Ca3BeAg.

Cell lengths 5.657, 5.657, 5.657 Å; angles 90.00, 90.00, 90.00 degrees
Space group Pm-3m (No. 221)
Asymmetric unit:
Ca 0.000 0.000 0.500
Be 0.500 0.500 0.500
Ag 0.000 0.000 0.000

Calculated values
Formation energy from the elements ... 230 kJ/mol of formula units


The following is a DFT calculation (PBE-GGA) of an optimized crystal structure of CaBeAg.

Cell lengths 3.344, 3.344, 10.419 Å; angles 90.00, 90.00, 90.00 degrees
Space group I4mm (No. 107)
Asymmetric unit:
Ca 0.000 0.000 0.000
Be 0.000 0.000 0.703
Ag 0.000 0.000 0.287

Calculated values
Formation energy from the elements ... 28 kJ/mol of formula units


The following is a DFT calculation (PBE-GGA) of an optimized crystal structure of Ca3BeAg.

Cell lengths 5.472, 5.472, 5.472 Å; angles 90.00, 90.00, 90.00 degrees
Space group Pm-3m (No. 221)
Asymmetric unit:
Ca 0.000 0.000 0.500
Be 0.000 0.000 0.000
Ag 0.500 0.500 0.500

Calculated values
Formation energy from the elements ... 132 kJ/mol of formula units


The following is a DFT calculation (PBE-GGA) of an optimized crystal structure of CaBeAg2.

Cell lengths 3.877, 5.178, 7.853 Å; angles 90.00, 90.00, 90.00 degrees
Space group Immm (No. 71)
Asymmetric unit:
Ca 0.000 0.000 0.000
Be 0.000 0.000 0.500
Ag 0.000 0.500 0.192

Calculated values
Formation energy from the elements ... 31 kJ/mol of formula units


The following is a DFT calculation (PBE-GGA) of an optimized crystal structure of CaBe2Ag.

Cell lengths 3.005, 3.005, 7.114 Å; angles 90.00, 90.00, 90.00 degrees
Space group P4mm (No. 99)
Asymmetric unit:
Ca 0.000 0.000 0.000
Be 0.000 0.000 0.553
Be 0.500 0.500 0.697
Ag 0.500 0.500 0.344

Calculated values
Formation energy from the elements ... 105 kJ/mol of formula units


The following is a DFT calculation (PBE-GGA) of an optimized crystal structure of CaBeCdAg2.

Cell lengths 4.683, 4.683, 4.688 Å; angles 90.00, 90.00, 90.00 degrees
Space group P4/mmm (No. 123)
Asymmetric unit:
Ca 0.000 0.000 0.000
Be 0.500 0.500 0.500
Cd 0.500 0.500 0.000
Ag 0.000 0.500 0.500

Calculated values
Formation energy from the elements ... -16 kJ/mol of formula units


The following is a DFT calculation (PBE-GGA) of an optimized crystal structure of CaBeAg2Cl.

Cell lengths 5.745, 5.745, 3.769 Å; angles 90.00, 90.00, 90.00 degrees
Space group P4/mmm (No. 123)
Asymmetric unit:
Ca 0.000 0.000 0.000
Be 0.500 0.500 0.000
Ag 0.000 0.500 0.500
Cl 0.500 0.500 0.500

Calculated values
Uncorrected formation energy ... 0.465 eV/atom


The following is a DFT calculation (PBE-GGA) of an optimized crystal structure of Ca2BeAgF.

Cell lengths 5.786, 5.786, 4.291 Å; angles 90.00, 90.00, 90.00 degrees
Space group P4/mmm (No. 123)
Asymmetric unit:
Ca 0.000 0.500 0.000
Be 0.000 0.000 0.500
Ag 0.500 0.500 0.000
F 0.500 0.500 0.500

Calculated values
Uncorrected formation energy ... 0.050 eV/atom


The following is a DFT calculation (PBE-GGA) of an optimized crystal structure of CaBeAg2F6.

Cell lengths 5.6299, 5.6299, 13.8097 Å; angles 90.00, 90.00, 120.00 degrees
Space group R-3 (No. 148, hexagonal axes)
Asymmetric unit:
Ca 0.0000 0.0000 0.0000
Be 0.0000 0.0000 0.5000
Ag 0.0000 0.0000 0.2506
F 0.0434 0.4490 0.2416

Calculated values
Uncorrected formation energy ... -2.415 eV/atom


The following is a DFT calculation (PBE-GGA) of an optimized crystal structure of CaBeGaAg2.

Cell lengths 4.671, 4.671, 4.431 Å; angles 90.00, 90.00, 90.00 degrees
Space group P4/mmm (No. 123)
Asymmetric unit:
Ca 0.000 0.000 0.000
Be 0.500 0.500 0.500
Ga 0.500 0.500 0.000
Ag 0.000 0.500 0.500

Calculated values
Formation energy from the elements ... -38 kJ/mol of formula units


The following is a DFT calculation (PBE-GGA) of an optimized crystal structure of CaLa2BeAg.

Cell lengths 5.695, 5.695, 4.567 Å; angles 90.00, 90.00, 90.00 degrees
Space group P4/mmm (No. 123)
Asymmetric unit:
Ca 0.000 0.000 0.000
La 0.000 0.500 0.500
Be 0.500 0.500 0.500
Ag 0.500 0.500 0.000

Calculated values
Formation energy from the elements ... 95 kJ/mol of formula units


The following is a DFT calculation (PBE-GGA) of an optimized crystal structure of Ca2Be2AgPd5.

Cell lengths 9.834, 9.834, 3.393 Å; angles 90.00, 90.00, 90.00 degrees
Space group P4/mbm (No. 127)
Asymmetric unit:
Ca 0.178 0.322 0.000
Be 0.119 0.619 0.000
Ag 0.000 0.000 0.000
Pd 0.000 0.500 0.500
Pd 0.068 0.779 0.500

Calculated values
Formation energy from the elements ... -549 kJ/mol of formula units


The following is a DFT calculation (PBE-GGA) of an optimized crystal structure of CaBeAg2Pd.

Cell lengths 4.583, 4.583, 4.444 Å; angles 90.00, 90.00, 90.00 degrees
Space group P4/mmm (No. 123)
Asymmetric unit:
Ca 0.000 0.000 0.000
Be 0.500 0.500 0.500
Ag 0.000 0.500 0.500
Pd 0.500 0.500 0.000

Calculated values
Formation energy from the elements ... -96 kJ/mol of formula units


The following is a DFT calculation (PBE-GGA) of an optimized crystal structure of CaBeAgPt2.

Cell lengths 4.364, 4.364, 4.571 Å; angles 90.00, 90.00, 90.00 degrees
Space group P4/mmm (No. 123)
Asymmetric unit:
Ca 0.000 0.000 0.000
Be 0.500 0.500 0.500
Ag 0.500 0.500 0.000
Pt 0.000 0.500 0.500

Calculated values
Formation energy from the elements ... -236 kJ/mol of formula units


The following is a DFT calculation (PBE-GGA) of an optimized crystal structure of Ca2BeAgRh.

Cell lengths 5.273, 5.273, 5.122 Å; angles 90.00, 90.00, 90.00 degrees
Space group P4/mmm (No. 123)
Asymmetric unit:
Ca 0.000 0.500 0.000
Be 0.000 0.000 0.500
Ag 0.500 0.500 0.500
Rh 0.500 0.500 0.000

Calculated values
Formation energy from the elements ... 228 kJ/mol of formula units


The following is a DFT calculation (PBE-GGA) of an optimized crystal structure of Ca2Be3Si4Ag.

Cell lengths 3.990, 3.990, 10.109 Å; angles 90.00, 90.00, 90.00 degrees
Space group P-4m2 (No. 115)
Asymmetric unit:
Ca 0.000 0.500 0.243
Be 0.000 0.500 0.871
Be 0.500 0.500 0.500
Si 0.000 0.000 0.000
Si 0.000 0.500 0.647
Si 0.500 0.500 0.000
Ag 0.000 0.000 0.500

Calculated values
Uncorrected formation energy ... -0.198 eV/atom


The following is a DFT calculation (PBE-GGA) of an optimized crystal structure of CaBeTc2Ag.

Cell lengths 4.672, 4.672, 4.668 Å; angles 90.00, 90.00, 90.00 degrees
Space group P4/mmm (No. 123)
Asymmetric unit:
Ca 0.000 0.000 0.000
Be 0.000 0.000 0.500
Tc 0.000 0.500 0.000
Ag 0.500 0.500 0.500

Calculated values
Formation energy from the elements ... 1130 kJ/mol of formula units


The following is a DFT calculation (PBE-GGA) of an optimized crystal structure of CaBeZnAg2.

Cell lengths 4.647, 4.647, 4.438 Å; angles 90.00, 90.00, 90.00 degrees
Space group P4/mmm (No. 123)
Asymmetric unit:
Ca 0.000 0.000 0.000
Be 0.500 0.500 0.500
Zn 0.500 0.500 0.000
Ag 0.000 0.500 0.500

Calculated values
Formation energy from the elements ... -20 kJ/mol of formula units


The following is a DFT calculation (PBE-GGA) of an optimized crystal structure of BeCd4Ag.

Cell lengths 7.920, 7.920, 7.920 Å; angles 90.00, 90.00, 90.00 degrees
Space group F-43m (No. 216)
Asymmetric unit:
Be 0.000 0.000 0.000
Cd 0.125 0.125 0.625
Ag 0.250 0.250 0.250

Calculated values
Formation energy from the elements ... 266 kJ/mol of formula units


The following is a DFT calculation (PBE-GGA) of an optimized crystal structure of BeCdAg2.

Cell lengths 2.947, 4.145, 5.584 Å; angles 90.00, 105.04, 90.00 degrees
Space group P2/m (No. 10)
Asymmetric unit:
Be 0.000 0.000 0.000
Cd 0.500 0.000 0.500
Ag 0.150 0.500 0.777

Calculated values
Formation energy from the elements ... 68 kJ/mol of formula units


The following is a DFT calculation (PBE-GGA) of an optimized crystal structure of BeCd2Ag2.

Cell lengths 6.587, 6.587, 4.338 Å; angles 90.00, 90.00, 90.00 degrees
Space group P4/mbm (No. 127)
Asymmetric unit:
Be 0.000 0.000 0.000
Cd 0.157 0.343 0.000
Ag 0.155 0.655 0.500

Calculated values
Formation energy from the elements ... 161 kJ/mol of formula units


The following is a DFT calculation (PBE-GGA) of an optimized crystal structure of BeCdAg2.

Cell lengths 4.286, 4.286, 7.185 Å; angles 90.00, 90.00, 90.00 degrees
Space group I4/mmm (No. 139)
Asymmetric unit:
Be 0.000 0.000 0.000
Cd 0.000 0.000 0.500
Ag 0.000 0.500 0.250

Calculated values
Formation energy from the elements ... 82 kJ/mol of formula units


no.,Fermi-level density of states (states/eV per cell),density (g/cm3),calculated volume (Å³/atom)
1,5.079,3.77,18.29
2,4.319,5.56,16.37
3,2.417,3.89,17.73
4,17.825,3.79,21.58
5,7.957,3.46,19.89
6,4.132,2.17,36.21
7,2.875,4.48,19.41
8,3.675,2.40,32.77
9,4.274,5.58,19.70
10,2.740,4.29,16.06
11,2.279,6.09,20.56
12,2.394,4.01,24.88
13,3.270,2.50,28.73
14,0.000,4.98,12.64
15,1.767,5.75,19.34
16,6.397,4.87,29.62
17,7.529,7.47,16.41
18,2.191,6.60,18.67
19,1.804,10.44,17.41
20,2.674,3.50,28.48
21,3.167,3.38,16.10
22,3.760,5.75,20.38
23,2.315,5.72,19.17
24,2.478,7.58,20.70
25,1.127,8.50,16.47
26,2.541,7.93,18.82
27,1.284,8.48,16.50